Here is InCuAg2 at its PBEsol-relaxed geometry from the Alexandria database. Energies are from meta-GGA SCAN.

Cell: 9.7728 3.3819 4.3986 Å, 90.00 115.24 90.00°
Space group C2/m (No. 12)
Asymmetric unit:
In: 0.0000 0.0000 0.0000 [2 per cell]
Cu: 0.0000 0.5000 0.5000 [2 per cell]
Ag: 0.2327 0.0000 0.7328 [4 per cell]

Computed properties:
Spin magnetization ... 0.0 μB/f.u.
Fermi-level density of states ... 1.02 states/eV/f.u.
VASP energy ... -27.788 eV/atom

=====

Here is In2CuAg at its PBEsol-relaxed geometry from the Alexandria database. Energies are from meta-GGA SCAN.

Cell: 3.5833 3.7095 5.6098 Å, 90.00 90.00 90.00°
Space group Pmm2 (No. 25)
Asymmetric unit:
In: 0.0000 0.0000 0.0000 [1 per cell]
In: 0.5000 0.5000 0.3003 [1 per cell]
Cu: 0.0000 0.0000 0.5133 [1 per cell]
Ag: 0.5000 0.5000 0.7752 [1 per cell]

Computed properties:
Spin magnetization ... 0.0 μB/f.u.
Fermi-level density of states ... 1.07 states/eV/f.u.
Energy above the lowest structure with this stoichiometry ... 0.000 eV per atom
VASP energy ... -28.217 eV/atom

=====

Here is InCuAg at its PBEsol-relaxed geometry from the Alexandria database. Energies are from meta-GGA SCAN.

Cell: 6.1624 6.1624 6.1624 Å, 90.00 90.00 90.00°
Space group F-43m (No. 216)
Asymmetric unit:
In: 0.0000 0.0000 0.0000 [4 per cell]
Cu: 0.0000 0.0000 0.5000 [4 per cell]
Ag: 0.2500 0.2500 0.7500 [4 per cell]

Computed properties:
Spin magnetization ... 0.0 μB/f.u.
Fermi-level density of states ... 1.27 states/eV/f.u.
VASP energy ... -26.385 eV/atom

=====

Here is InCuAg2 at its PBEsol-relaxed geometry from the Alexandria database. Energies are from meta-GGA SCAN.

Cell: 2.9579 2.9579 26.9253 Å, 90.00 90.00 120.00°
Space group R-3m (No. 166, hexagonal axes)
Asymmetric unit:
In: 0.0000 0.0000 0.0000 [3 per cell]
Cu: 0.0000 0.0000 0.5000 [3 per cell]
Ag: 0.0000 0.0000 0.2421 [6 per cell]

Computed properties:
Spin magnetization ... 0.0 μB/f.u.
Fermi-level density of states ... 1.16 states/eV/f.u.
VASP energy ... -27.668 eV/atom

=====

Here is In2CuAg at its PBEsol-relaxed geometry from the Alexandria database. Energies are from meta-GGA SCAN.

Cell: 4.1326 4.1326 8.5969 Å, 90.00 90.00 90.00°
Space group I-4m2 (No. 119)
Asymmetric unit:
In: 0.0000 0.0000 0.0000 [2 per cell]
In: 0.0000 0.5000 0.2500 [2 per cell]
Cu: 0.0000 0.5000 0.7500 [2 per cell]
Ag: 0.0000 0.0000 0.5000 [2 per cell]

Computed properties:
Spin magnetization ... 0.0 μB/f.u.
Fermi-level density of states ... 1.19 states/eV/f.u.
Energy above the lowest structure with this stoichiometry ... 0.032 eV per atom
VASP energy ... -28.185 eV/atom

=====

Here is InCuAg2 at its PBEsol-relaxed geometry from the Alexandria database. Energies are from meta-GGA SCAN.

Cell: 3.1020 3.1020 6.9083 Å, 90.00 90.00 90.00°
Space group P4/mmm (No. 123)
Asymmetric unit:
In: 0.0000 0.0000 0.0000 [1 per cell]
Cu: 0.0000 0.0000 0.5000 [1 per cell]
Ag: 0.5000 0.5000 0.2855 [2 per cell]

Computed properties:
Spin magnetization ... 0.0 μB/f.u.
Fermi-level density of states ... 1.11 states/eV/f.u.
VASP energy ... -27.749 eV/atom

=====

Here is CuAgIr2 at its PBEsol-relaxed geometry from the Alexandria database. Energies are from meta-GGA SCAN.

Cell: 5.3166 9.2696 2.6678 Å, 90.00 119.50 90.00°
Space group C2/m (No. 12)
Asymmetric unit:
Cu: 0.0000 0.0000 0.0000 [2 per cell]
Ag: 0.0000 0.5000 0.0000 [2 per cell]
Ir: 0.2500 0.2500 0.5000 [4 per cell]

Computed properties:
Spin magnetization ... 0.0 μB/f.u.
Fermi-level density of states ... 3.71 states/eV/f.u.
VASP energy ... -46.846 eV/atom

=====

Here is Cu2AgIr at its PBEsol-relaxed geometry from the Alexandria database. Energies are from meta-GGA SCAN.

Cell: 9.3560 2.6785 4.4939 Å, 90.00 109.26 90.00°
Space group Cm (No. 8)
Asymmetric unit:
Cu: 0.0000 0.0000 0.0000 [2 per cell]
Cu: 0.2280 0.5000 0.3313 [2 per cell]
Ag: 0.4821 0.0000 0.4915 [2 per cell]
Ir: 0.2517 0.0000 0.8506 [2 per cell]

Computed properties:
Spin magnetization ... 0.0 μB/f.u.
Fermi-level density of states ... 2.74 states/eV/f.u.
VASP energy ... -33.015 eV/atom

=====

Here is KCu2Ag2 at its PBEsol-relaxed geometry from the Alexandria database. Energies are from meta-GGA SCAN.

Cell: 4.1125 4.1125 11.7335 Å, 90.00 90.00 90.00°
Space group I4/mmm (No. 139)
Asymmetric unit:
K: 0.0000 0.0000 0.0000 [2 per cell]
Cu: 0.0000 0.5000 0.2500 [4 per cell]
Ag: 0.0000 0.0000 0.3813 [4 per cell]

Computed properties:
Spin magnetization ... 0.0 μB/f.u.
Fermi-level density of states ... 1.97 states/eV/f.u.
VASP energy ... -19.959 eV/atom

=====

Here is K2CuAg2 at its PBEsol-relaxed geometry from the Alexandria database. Energies are from meta-GGA SCAN.

Cell: 6.3611 6.3611 7.6219 Å, 90.00 90.00 90.00°
Space group I4/mmm (No. 139)
Asymmetric unit:
K: 0.0000 0.5000 0.2500 [4 per cell]
Cu: 0.0000 0.0000 0.0000 [2 per cell]
Ag: 0.0000 0.0000 0.3274 [4 per cell]

Computed properties:
Spin magnetization ... 0.0 μB/f.u.
Fermi-level density of states ... 1.26 states/eV/f.u.
VASP energy ... -18.610 eV/atom

=====

Here is K2CuAg at its PBEsol-relaxed geometry from the Alexandria database. Energies are from meta-GGA SCAN.

Cell: 3.6094 3.6094 9.6698 Å, 90.00 90.00 90.00°
Space group P4mm (No. 99)
Asymmetric unit:
K: 0.0000 0.0000 0.0000 [1 per cell]
K: 0.5000 0.5000 0.4205 [1 per cell]
Cu: 0.5000 0.5000 0.7338 [1 per cell]
Ag: 0.0000 0.0000 0.6821 [1 per cell]

Computed properties:
Spin magnetization ... 0.0 μB/f.u.
Fermi-level density of states ... 1.86 states/eV/f.u.
Energy above the lowest structure with this stoichiometry ... 0.000 eV per atom
VASP energy ... -15.539 eV/atom

=====

Here is K2CuAg at its PBEsol-relaxed geometry from the Alexandria database. Energies are from meta-GGA SCAN.

Cell: 4.7278 4.7278 6.6968 Å, 90.00 90.00 90.00°
Space group P4mm (No. 99)
Asymmetric unit:
K: 0.0000 0.0000 0.0000 [1 per cell]
K: 0.5000 0.5000 0.4797 [1 per cell]
Cu: 0.5000 0.5000 0.9745 [1 per cell]
Ag: 0.0000 0.0000 0.5040 [1 per cell]

Computed properties:
Spin magnetization ... 0.2 μB/f.u.
Energy above the lowest structure with this stoichiometry ... 0.150 eV per atom
VASP energy ... -15.389 eV/atom

=====

Look up the VASP energy of the eleventh one. -15.539 eV/atom

=====

Among the records above, which one has the highest spin magnetization? number 12

=====

Please write out number 7 again, unchanged.
Here is CuAgIr2 at its PBEsol-relaxed geometry from the Alexandria database. Energies are from meta-GGA SCAN.

Cell: 5.3166 9.2696 2.6678 Å, 90.00 119.50 90.00°
Space group C2/m (No. 12)
Asymmetric unit:
Cu: 0.0000 0.0000 0.0000 [2 per cell]
Ag: 0.0000 0.5000 0.0000 [2 per cell]
Ir: 0.2500 0.2500 0.5000 [4 per cell]

Computed properties:
Spin magnetization ... 0.0 μB/f.u.
Fermi-level density of states ... 3.71 states/eV/f.u.
VASP energy ... -46.846 eV/atom